Below is Cr2AuC2 at its PBEsol-relaxed geometry, with properties calculated at the SCAN level. Values from VASP.

Quantum ESPRESSO input file:
```
&SYSTEM
  ibrav = 0, nat = 5, ntyp = 3
/
ATOMIC_SPECIES
Cr 52.00 Cr.upf
C 12.01 C.upf
Au 196.97 Au.upf
ATOMIC_POSITIONS crystal
Cr 0.750 0.250 0.500
C 0.685 0.685 0.370
Cr 0.250 0.750 0.500
C 0.315 0.315 0.630
Au 0.000 0.000 0.000
CELL_PARAMETERS angstrom
3.672 0.000 0.000
0.000 3.672 0.000
-1.836 -1.836 4.235
```

Output
E: -123.85 eV/cell
Spin magnetization: 1.2 μB per cell
Formation energy from the elements: 456 meV per atom
N(E_F): 2.87 states/eV/cell
Space group: No. 139

=====

Below is CrAuC2 at its PBEsol-relaxed geometry, with properties calculated at the SCAN level. Values from VASP.

Quantum ESPRESSO input file:
```
&SYSTEM
  ibrav = 0, nat = 8, ntyp = 3
/
ATOMIC_SPECIES
Cr 52.00 Cr.upf
C 12.01 C.upf
Au 196.97 Au.upf
ATOMIC_POSITIONS crystal
Cr 0.500 0.500 0.000
C 0.625 0.571 0.750
C 0.821 0.375 0.250
Au 0.000 0.000 0.000
C 0.429 0.875 0.250
Cr 0.750 0.250 0.500
C 0.125 0.179 0.750
Au 0.250 0.750 0.500
CELL_PARAMETERS angstrom
-2.241 -1.738 3.669
-1.439 -3.579 -2.574
5.515 0.353 0.605
```

Output
E: -207.47 eV/cell
Spin magnetization: 0.0 μB per cell
Formation energy from the elements: 1002 meV per atom
N(E_F): 4.50 states/eV/cell
Space group: No. 122

=====

Below is AuCO2F at its PBEsol-relaxed geometry, with properties calculated at the SCAN level. Values from VASP.

Quantum ESPRESSO input file:
```
&SYSTEM
  ibrav = 0, nat = 5, ntyp = 4
/
ATOMIC_SPECIES
F 19.00 F.upf
O 16.00 O.upf
Au 196.97 Au.upf
C 12.01 C.upf
ATOMIC_POSITIONS crystal
F 0.500 0.500 0.500
O 0.000 0.500 0.000
Au 0.000 0.000 0.500
C 0.000 0.000 0.000
O 0.500 0.000 0.000
CELL_PARAMETERS angstrom
3.220 0.000 0.000
0.000 3.220 0.000
0.000 0.000 4.673
```

Output
E: -91.58 eV/cell
Uncorrected formation energy: 0.736 eV per atom
Spin magnetization: 0.0 μB per cell
N(E_F): 1.78 states/eV/cell
Space group: No. 123

=====

Below is AuCO2F at its PBEsol-relaxed geometry, with properties calculated at the SCAN level. Values from VASP.

Quantum ESPRESSO input file:
```
&SYSTEM
  ibrav = 0, nat = 5, ntyp = 4
/
ATOMIC_SPECIES
O 16.00 O.upf
F 19.00 F.upf
C 12.01 C.upf
Au 196.97 Au.upf
ATOMIC_POSITIONS crystal
O 0.500 0.000 0.000
O 0.000 0.500 0.000
F 0.000 0.000 0.500
C 0.500 0.500 0.500
Au 0.000 0.000 0.000
CELL_PARAMETERS angstrom
-0.057 -3.395 2.030
2.171 1.670 2.854
-3.447 1.204 1.917
```

Output
E: -87.91 eV/cell
Uncorrected formation energy: 1.471 eV per atom
Spin magnetization: 0.4 μB per cell
N(E_F): 2.58 states/eV/cell
Space group: No. 123

=====

Below is FeAuC2 at its PBEsol-relaxed geometry, with properties calculated at the SCAN level. Values from VASP.

Quantum ESPRESSO input file:
```
&SYSTEM
  ibrav = 0, nat = 4, ntyp = 3
/
ATOMIC_SPECIES
C 12.01 C.upf
Au 196.97 Au.upf
Fe 55.84 Fe.upf
ATOMIC_POSITIONS crystal
C 0.250 0.250 0.250
Au 0.500 0.500 0.500
Fe 0.000 0.000 0.000
C 0.750 0.750 0.750
CELL_PARAMETERS angstrom
-1.489 2.408 -2.576
-3.293 -0.864 -1.748
-3.179 1.963 0.829
```

Output
E: -99.40 eV/cell
Spin magnetization: 2.7 μB per cell
Formation energy from the elements: 2022 meV per atom
N(E_F): 2.09 states/eV/cell
Space group: No. 225

=====

Below is FeAu3C at its PBEsol-relaxed geometry, with properties calculated at the SCAN level. Values from VASP.

Quantum ESPRESSO input file:
```
&SYSTEM
  ibrav = 0, nat = 5, ntyp = 3
/
ATOMIC_SPECIES
C 12.01 C.upf
Au 196.97 Au.upf
Fe 55.84 Fe.upf
ATOMIC_POSITIONS crystal
C 0.000 0.000 0.000
Au 0.000 0.000 0.500
Au 0.000 0.500 0.000
Fe 0.500 0.500 0.500
Au 0.500 0.000 0.000
CELL_PARAMETERS angstrom
4.232 0.000 0.000
0.000 4.232 0.000
0.000 0.000 4.232
```

Output
E: -231.45 eV/cell
Spin magnetization: 3.3 μB per cell
Formation energy from the elements: 849 meV per atom
N(E_F): 3.77 states/eV/cell
Space group: No. 221